(1)
# TbAl2Pd2Pt (PBE, relaxed)
# Calculated formation energy: -0.651 eV/atom
# Magnetization: 0.0 μB/cell
# E_tot: -5.408 eV/atom
data_TbAl2Pd2Pt
_space_group_name_H-M_alt 'P 4/m m m'
_space_group_IT_number 123
_space_group_name_Hall '-P 4 2'
_cell_length_a 4.6712
_cell_length_b 4.6712
_cell_length_c 5.5511
_cell_angle_alpha 90.00
_cell_angle_beta 90.00
_cell_angle_gamma 90.00
loop_
_atom_site_label
_atom_site_fract_x
_atom_site_fract_y
_atom_site_fract_z
Tb1 0.0000 0.0000 0.0000
Al1 0.0000 0.5000 0.5000
Pd1 0.5000 0.5000 0.2442
Pt1 0.0000 0.0000 0.5000

=====

(2)
# Pm3Mg2Tl (PBE, relaxed)
# Energy above the most stable polymorph in this dataset: 0.000 eV per atom
# Calculated formation energy: -0.208 eV/atom
# Magnetization: 0.0 μB/cell
# E_tot: -3.509 eV/atom
data_Pm3Mg2Tl
_space_group_name_H-M_alt 'C m m m'
_space_group_IT_number 65
_space_group_name_Hall '-C 2 2'
_cell_length_a 5.4240
_cell_length_b 16.4214
_cell_length_c 3.9006
_cell_angle_alpha 90.00
_cell_angle_beta 90.00
_cell_angle_gamma 90.00
loop_
_atom_site_label
_atom_site_fract_x
_atom_site_fract_y
_atom_site_fract_z
Pm1 0.0000 0.0000 0.0000
Pm2 0.0000 0.3332 0.0000
Mg1 0.0000 0.1710 0.5000
Tl1 0.0000 0.5000 0.5000

=====

(3)
# La2Pm2Nd (PBE, relaxed)
# Energy above the most stable polymorph in this dataset: 0.305 eV per atom
# Calculated formation energy: 0.320 eV/atom
# Magnetization: 0.0 μB/cell
# E_tot: -4.505 eV/atom
data_La2Pm2Nd
_space_group_name_H-M_alt 'I 4/m m m'
_space_group_IT_number 139
_space_group_name_Hall '-I 4 2'
_cell_length_a 4.7252
_cell_length_b 4.7252
_cell_length_c 16.7131
_cell_angle_alpha 90.00
_cell_angle_beta 90.00
_cell_angle_gamma 90.00
loop_
_atom_site_label
_atom_site_fract_x
_atom_site_fract_y
_atom_site_fract_z
La1 0.0000 0.0000 0.0930
Pm1 0.0000 0.5000 0.2500
Nd1 0.0000 0.0000 0.5000

=====

(4)
# AlRe3Pt (PBE, relaxed)
# Energy above the most stable polymorph in this dataset: 0.000 eV per atom
# Calculated formation energy: 1.710 eV/atom
# Magnetization: 0.0 μB/cell
# E_tot: -7.715 eV/atom
data_AlRe3Pt
_space_group_name_H-M_alt 'P m -3 m'
_space_group_IT_number 221
_space_group_name_Hall '-P 4 2 3'
_cell_length_a 4.3939
_cell_length_b 4.3939
_cell_length_c 4.3939
_cell_angle_alpha 90.00
_cell_angle_beta 90.00
_cell_angle_gamma 90.00
loop_
_atom_site_label
_atom_site_fract_x
_atom_site_fract_y
_atom_site_fract_z
Al1 0.0000 0.0000 0.0000
Re1 0.0000 0.0000 0.5000
Pt1 0.5000 0.5000 0.5000

=====

(5)
# Ca2CrSe (PBE, relaxed)
# Magnetization: 10.8 μB/cell
# Energy relative to the elements, uncorrected: -0.192 eV per atom
# E_tot: -4.470 eV/atom
data_Ca2CrSe
_space_group_name_H-M_alt 'I m m m'
_space_group_IT_number 71
_space_group_name_Hall '-I 2 2'
_cell_length_a 4.4013
_cell_length_b 5.5725
_cell_length_c 8.9756
_cell_angle_alpha 90.00
_cell_angle_beta 90.00
_cell_angle_gamma 90.00
loop_
_atom_site_label
_atom_site_fract_x
_atom_site_fract_y
_atom_site_fract_z
Ca1 0.0000 0.0000 0.2196
Cr1 0.0000 0.5000 0.0000
Se1 0.0000 0.5000 0.5000

=====

(6)
# NaNb2AlRh (PBE, relaxed)
# Energy above the most stable polymorph in this dataset: 0.721 eV per atom
# Calculated formation energy: 1.694 eV/atom
# Magnetization: 0.0 μB/cell
# E_tot: -4.817 eV/atom
data_NaNb2AlRh
_space_group_name_H-M_alt 'P 4/m m m'
_space_group_IT_number 123
_space_group_name_Hall '-P 4 2'
_cell_length_a 4.6449
_cell_length_b 4.6449
_cell_length_c 4.4806
_cell_angle_alpha 90.00
_cell_angle_beta 90.00
_cell_angle_gamma 90.00
loop_
_atom_site_label
_atom_site_fract_x
_atom_site_fract_y
_atom_site_fract_z
Na1 0.0000 0.0000 0.0000
Nb1 0.0000 0.5000 0.0000
Al1 0.5000 0.5000 0.5000
Rh1 0.0000 0.0000 0.5000

=====

(7)
# GdAs2 (PBE, relaxed)
# Calculated formation energy: -0.780 eV/atom
# Magnetization: 13.7 μB/cell
# E_tot: -8.573 eV/atom
data_GdAs2
_space_group_name_H-M_alt 'I 4/m m m'
_space_group_IT_number 139
_space_group_name_Hall '-I 4 2'
_cell_length_a 3.9210
_cell_length_b 3.9210
_cell_length_c 9.3099
_cell_angle_alpha 90.00
_cell_angle_beta 90.00
_cell_angle_gamma 90.00
loop_
_atom_site_label
_atom_site_fract_x
_atom_site_fract_y
_atom_site_fract_z
Gd1 0.0000 0.0000 0.0000
As1 0.0000 0.0000 0.3668

=====

(8)
# Mg2TcBr (PBE, relaxed)
# Energy above the most stable polymorph in this dataset: 0.054 eV per atom
# Magnetization: 0.0 μB/cell
# Energy relative to the elements, uncorrected: 0.024 eV per atom
# E_tot: -3.783 eV/atom
data_Mg2TcBr
_space_group_name_H-M_alt 'C m m m'
_space_group_IT_number 65
_space_group_name_Hall '-C 2 2'
_cell_length_a 3.6923
_cell_length_b 5.0650
_cell_length_c 8.3024
_cell_angle_alpha 90.00
_cell_angle_beta 90.00
_cell_angle_gamma 90.00
loop_
_atom_site_label
_atom_site_fract_x
_atom_site_fract_y
_atom_site_fract_z
Mg1 0.0000 0.0000 0.2323
Tc1 0.0000 0.5000 0.0000
Br1 0.0000 0.5000 0.5000

=====

(9)
# FeReSi (PBE, relaxed)
# Magnetization: 0.0 μB/cell
# Energy relative to the elements, uncorrected: -0.159 eV per atom
# E_tot: -8.937 eV/atom
data_FeReSi
_space_group_name_H-M_alt 'P -6 m 2'
_space_group_IT_number 187
_space_group_name_Hall 'P -6 2'
_cell_length_a 3.9996
_cell_length_b 3.9996
_cell_length_c 2.6854
_cell_angle_alpha 90.00
_cell_angle_beta 90.00
_cell_angle_gamma 120.00
loop_
_atom_site_label
_atom_site_fract_x
_atom_site_fract_y
_atom_site_fract_z
Fe1 0.0000 0.0000 0.0000
Re1 0.3333 0.6667 0.5000
Si1 0.6667 0.3333 0.0000

=====

(10)
# LaZn2Cu (PBE, relaxed)
# Calculated formation energy: -0.153 eV/atom
# Magnetization: 0.0 μB/cell
# E_tot: -3.046 eV/atom
data_LaZn2Cu
_space_group_name_H-M_alt 'F m -3 m'
_space_group_IT_number 225
_space_group_name_Hall '-F 4 2 3'
_cell_length_a 6.8250
_cell_length_b 6.8250
_cell_length_c 6.8250
_cell_angle_alpha 90.00
_cell_angle_beta 90.00
_cell_angle_gamma 90.00
loop_
_atom_site_label
_atom_site_fract_x
_atom_site_fract_y
_atom_site_fract_z
La1 0.0000 0.0000 0.0000
Zn1 0.2500 0.2500 0.2500
Cu1 0.0000 0.0000 0.5000

=====

(11)
# P2PtSe2 (PBE, relaxed)
# Energy above the most stable polymorph in this dataset: 0.475 eV per atom
# Magnetization: 0.0 μB/cell
# Energy relative to the elements, uncorrected: 0.472 eV per atom
# E_tot: -4.294 eV/atom
data_P2PtSe2
_space_group_name_H-M_alt 'I 4/m m m'
_space_group_IT_number 139
_space_group_name_Hall '-I 4 2'
_cell_length_a 5.0850
_cell_length_b 5.0850
_cell_length_c 7.8408
_cell_angle_alpha 90.00
_cell_angle_beta 90.00
_cell_angle_gamma 90.00
loop_
_atom_site_label
_atom_site_fract_x
_atom_site_fract_y
_atom_site_fract_z
P1 0.0000 0.5000 0.2500
Pt1 0.0000 0.0000 0.0000
Se1 0.0000 0.0000 0.3071

=====

(12)
# ZrScSe2 (PBE, relaxed)
# Energy above the most stable polymorph in this dataset: 1.154 eV per atom
# Magnetization: 10.3 μB/cell
# Energy relative to the elements, uncorrected: -0.262 eV per atom
# E_tot: -5.724 eV/atom
data_ZrScSe2
_space_group_name_H-M_alt 'F -4 3 m'
_space_group_IT_number 216
_space_group_name_Hall 'F -4 2 3'
_cell_length_a 6.9375
_cell_length_b 6.9375
_cell_length_c 6.9375
_cell_angle_alpha 90.00
_cell_angle_beta 90.00
_cell_angle_gamma 90.00
loop_
_atom_site_label
_atom_site_fract_x
_atom_site_fract_y
_atom_site_fract_z
Zr1 0.0000 0.0000 0.0000
Sc1 0.2500 0.2500 0.7500
Se1 0.0000 0.0000 0.5000
Se2 0.2500 0.2500 0.2500